Material: Cd3Sn
Method: DFT, PBE
State: optimized geometry

abc: 4.551 4.551 5.694
angles: 113.56 113.56 90.00
Positions (direct):
Cd 0.750 0.250 0.500
Cd 0.250 0.750 0.500
Cd 0.500 0.500 0.000
Sn 0.000 0.000 0.000

Output
Its energy of formation is 0.046 eV per atom. The value obtained for the volume is 97.3 Å³/f.u. For the spin magnetization, the calculation gives 0.0 μB per cell.